! PBE-GGA BaLaCdPb, optimized geometry; values from VASP
&SYSTEM
  ibrav = 0, nat = 4, ntyp = 4
/
ATOMIC_SPECIES
La 138.91 La.upf
Cd 112.41 Cd.upf
Pb 207.20 Pb.upf
Ba 137.33 Ba.upf
CELL_PARAMETERS angstrom
-2.9663 4.1760 2.7779
-5.0508 1.9254 -2.1763
-5.0083 -1.2809 2.6891
ATOMIC_POSITIONS crystal
La 0.0000 0.0000 0.0000
Cd 0.7500 0.7500 0.7500
Pb 0.2500 0.2500 0.2500
Ba 0.5000 0.5000 0.5000
! DOS at the Fermi energy = 1.302 states/eV per atom
! ΔH_f (0 K) = -0.394 eV/atom



! PBE-GGA Lu5Pt3, optimized geometry; values from VASP
&SYSTEM
  ibrav = 0, nat = 16, ntyp = 2
/
ATOMIC_SPECIES
Lu 174.97 Lu.upf
Pt 195.08 Pt.upf
CELL_PARAMETERS angstrom
8.2935 0.0000 0.0000
-4.1467 7.1824 0.0000
0.0000 0.0000 6.0121
ATOMIC_POSITIONS crystal
Lu 0.3333 0.6667 0.0000
Lu 0.3333 0.6667 0.5000
Lu 0.2450 0.2450 0.7500
Lu 0.2450 0.0000 0.2500
Lu 0.6667 0.3333 0.5000
Lu 0.0000 0.2450 0.2500
Lu 0.0000 0.7550 0.7500
Lu 0.6667 0.3333 0.0000
Lu 0.7550 0.0000 0.7500
Lu 0.7550 0.7550 0.2500
Pt 0.3952 0.0000 0.7500
Pt 0.0000 0.6048 0.2500
Pt 0.3952 0.3952 0.2500
Pt 0.6048 0.0000 0.2500
Pt 0.6048 0.6048 0.7500
Pt 0.0000 0.3952 0.7500
! DOS at the Fermi energy = 0.639 states/eV per atom
! ΔH_f (0 K) = -1.092 eV/atom



! PBE-GGA MgZrPb2, optimized geometry; values from VASP
&SYSTEM
  ibrav = 0, nat = 4, ntyp = 3
/
ATOMIC_SPECIES
Pb 207.20 Pb.upf
Mg 24.30 Mg.upf
Zr 91.22 Zr.upf
CELL_PARAMETERS angstrom
-2.2661 -2.3965 -3.2474
-1.7853 -3.2009 3.6079
-3.3170 2.4342 0.5183
ATOMIC_POSITIONS crystal
Pb 0.0000 0.0000 0.0000
Pb 0.5000 0.5000 0.0000
Mg 0.0000 0.5000 0.5000
Zr 0.5000 0.0000 0.5000
! DOS at the Fermi energy = 0.797 states/eV per atom
! ΔH_f (0 K) = -0.043 eV/atom



! PBE-GGA CsGe2OsO, optimized geometry; values from VASP
&SYSTEM
  ibrav = 0, nat = 5, ntyp = 4
/
ATOMIC_SPECIES
Os 190.23 Os.upf
Cs 132.91 Cs.upf
O 16.00 O.upf
Ge 72.64 Ge.upf
CELL_PARAMETERS angstrom
-4.4877 -1.5137 3.3081
2.5556 -4.0808 1.5995
2.1835 3.0811 4.3719
ATOMIC_POSITIONS crystal
Os 0.0000 0.5000 0.0000
Cs 0.0000 0.0000 0.0000
O 0.5000 0.5000 0.5000
Ge 0.0000 0.0000 0.5000
Ge 0.5000 0.0000 0.0000
! DOS at the Fermi energy = 1.007 states/eV per atom
! calculated total energy = -2.2657 eV/atom



! PBE-GGA PmGdS2, optimized geometry; values from VASP
&SYSTEM
  ibrav = 0, nat = 4, ntyp = 3
/
ATOMIC_SPECIES
S 32.06 S.upf
Gd 157.25 Gd.upf
Pm 145.00 Pm.upf
CELL_PARAMETERS angstrom
3.9990 0.0000 0.0000
1.9995 3.4632 0.0000
1.9995 1.1544 6.5255
ATOMIC_POSITIONS crystal
S 0.2475 0.2475 0.2575
S 0.7525 0.7525 0.7425
Gd 0.5000 0.5000 0.5000
Pm 0.0000 0.0000 0.0000
! DOS at the Fermi energy = 0.434 states/eV per atom
! calculated total energy = -8.8306 eV/atom



! PBE-GGA CdIn2Br8, optimized geometry; values from VASP
&SYSTEM
  ibrav = 0, nat = 11, ntyp = 3
/
ATOMIC_SPECIES
Br 79.90 Br.upf
Cd 112.41 Cd.upf
In 114.82 In.upf
CELL_PARAMETERS angstrom
6.7355 -0.1692 -0.1447
0.6719 8.2115 -0.1932
0.6719 1.0821 8.1422
ATOMIC_POSITIONS crystal
Br 0.2294 0.9238 0.2750
Br 0.2530 0.7977 0.7977
Br 0.2434 0.4096 0.4096
Br 0.7470 0.2023 0.2023
Br 0.2294 0.2750 0.9238
Br 0.7706 0.7250 0.0762
Br 0.7566 0.5904 0.5904
Br 0.7706 0.0762 0.7250
Cd 0.0000 0.0000 0.0000
In 0.3652 0.2141 0.2141
In 0.6348 0.7859 0.7859
! DOS at the Fermi energy = 0.000 states/eV per atom
! offset from the most stable computed form = 0.04 eV per formula unit